This record from the Alexandria database describes a geometry-optimized UHgS4 structure. The functional is PBE.

Properties
E_form (uncorrected) = -0.661 eV/atom
final energy = -5.3440 eV per atom
mass density = 5.4 g/cm3
crystal system = monoclinic

Unit cell a=3.9474 b=7.1226 c=7.2546 alpha=116.43 beta=90.00 gamma=106.09
With the nearest neighbours (Å) after each atom.
Fractional positions:
S 0.8749 0.7497 0.4750  2 U 2.56
S 0.4064 0.8127 0.1012  1 U 2.56, 2 Hg 2.64
S 0.5936 0.1873 0.8988  1 U 2.56, 2 Hg 2.64
U 0.5000 0.0000 0.5000  6 S 2.56
Hg 0.0000 0.0000 0.0000  4 S 2.64
S 0.1251 0.2503 0.5250  2 U 2.56